Here is a relaxed structure of Cs2LiHSe from Alexandria. Energies are from PBE.

symmetry = R3m
ΔE to the lowest computed polymorph = 0.018 eV per formula unit

a b c (Å): 4.4801 4.4801 27.5294
angles (deg): 90.00 90.00 120.00
With the nearest neighbours (Å) after each atom.
Element x y z (fractional)
Cs (0.0000, 0.0000, 0.8896)  3 H 3.18
Cs (0.3333, 0.6667, 0.5562)  3 H 3.18
Cs (0.6667, 0.3333, 0.2229)  3 H 3.18
Cs (0.0000, 0.0000, 0.0888)  3 H 3.17
Cs (0.3333, 0.6667, 0.7555)  3 H 3.17
Cs (0.6667, 0.3333, 0.4221)  3 H 3.17
H (0.0000, 0.0000, 0.4888)  6 Cs 3.17-3.18
H (0.3333, 0.6667, 0.1555)  6 Cs 3.17-3.18
H (0.6667, 0.3333, 0.8221)  6 Cs 3.17-3.18
Se (0.0000, 0.0000, 0.6558)  3 Li 2.59
Se (0.3333, 0.6667, 0.3225)  3 Li 2.59
Se (0.6667, 0.3333, 0.9891)  3 Li 2.59
Li (0.0000, 0.0000, 0.3228)  3 Se 2.59
Li (0.3333, 0.6667, 0.9895)  3 Se 2.59
Li (0.6667, 0.3333, 0.6561)  3 Se 2.59

Here is a relaxed structure of Rb2InBr6 from Alexandria. Energies are from PBE.

symmetry = C2/m

a b c (Å): 6.6424 7.6356 8.9173
angles (deg): 115.35 111.76 90.00
With the nearest neighbours (Å) after each atom.
Element x y z (fractional)
Rb (0.6688, 0.6706, 0.3412)  4 Br 3.48-3.49
Rb (0.3312, 0.3294, 0.6588)  4 Br 3.48-3.49
In (0.0000, 0.0000, 0.0000)  4 Br 2.65
Br (0.1282, 0.3718, 0.2581)  1 In 2.65
Br (0.8718, 0.1136, 0.7419)  1 In 2.65
Br (0.8718, 0.6282, 0.7419)  1 In 2.65
Br (0.5000, 0.1821, 0.0000)  1 Br 2.78
Br (0.1282, 0.8864, 0.2581)  1 In 2.65
Br (0.5000, 0.8179, 0.0000)  1 Br 2.78

Here is a relaxed structure of Ac6ZnTe5 from Alexandria. Energies are from PBE.

symmetry = C2/m

a b c (Å): 8.2064 8.2064 8.1724
angles (deg): 99.64 99.64 119.77
With the nearest neighbours (Å) after each atom.
Element x y z (fractional)
Ac (0.3954, 0.0788, 0.2378)  1 Zn 3.18, 5 Te 3.35-3.43
Ac (0.9212, 0.6046, 0.7622)  1 Zn 3.18, 5 Te 3.35-3.43
Ac (0.2343, 0.2343, 0.7561)  1 Zn 3.20, 5 Te 3.36-3.50
Ac (0.7657, 0.7657, 0.2439)  1 Zn 3.20, 5 Te 3.36-3.50
Ac (0.0788, 0.3954, 0.2378)  1 Zn 3.18, 5 Te 3.35-3.43
Ac (0.6046, 0.9212, 0.7622)  1 Zn 3.18, 5 Te 3.35-3.43
Te (0.8244, 0.1756, 0.5000)  6 Ac 3.36-3.43
Te (0.6648, 0.3352, 0.0000)  6 Ac 3.36-3.37
Te (0.5000, 0.5000, 0.5000)  6 Ac 3.35-3.50
Te (0.3352, 0.6648, 0.0000)  6 Ac 3.36-3.37
Te (0.1756, 0.8244, 0.5000)  6 Ac 3.36-3.43
Zn (0.0000, 0.0000, 0.0000)  6 Ac 3.18-3.20

Here is a relaxed structure of CsAg3Sb from Alexandria. Energies are from PBE.

symmetry = Pm-3m
ΔE to the lowest computed polymorph = 0.000 eV per formula unit

a b c (Å): 5.5424 5.5424 5.5424
angles (deg): 90.00 90.00 90.00
With the nearest neighbours (Å) after each atom.
Element x y z (fractional)
Cs (0.5000, 0.5000, 0.5000)  12 Ag 3.92
Sb (0.0000, 0.0000, 0.0000)  6 Ag 2.77
Ag (0.0000, 0.5000, 0.0000)  2 Sb 2.77
Ag (0.0000, 0.0000, 0.5000)  2 Sb 2.77
Ag (0.5000, 0.0000, 0.0000)  2 Sb 2.77

Here is a relaxed structure of Ga2FeHgSe from Alexandria. Energies are from PBE.

symmetry = P4/mmm

a b c (Å): 4.9232 5.3059 4.9232
angles (deg): 90.00 90.00 90.00
With the nearest neighbours (Å) after each atom.
Element x y z (fractional)
Ga (0.0000, 0.0000, 0.5000)  2 Se 2.46
Ga (0.5000, 0.0000, 0.0000)  2 Se 2.46
Hg (0.0000, 0.5000, 0.0000)  2 Se 2.65
Se (0.0000, 0.0000, 0.0000)  4 Ga 2.46, 2 Hg 2.65
Fe (0.5000, 0.5000, 0.5000)  4 Hg 3.48, 8 Ga 3.62

Here is a relaxed structure of LaRe2P from Alexandria. Energies are from PBE.

symmetry = Cmm2
DFT formation energy = 0.413 eV per atom

a b c (Å): 2.9248 2.9248 9.1311
angles (deg): 90.00 90.00 114.28
With the nearest neighbours (Å) after each atom.
Element x y z (fractional)
La (0.0000, 0.0000, 0.5058)  6 La 2.92-3.17, 2 P 3.04, 2 Re 3.06
P (0.5000, 0.5000, 0.7892)  2 Re 2.40
Re (0.0000, 0.0000, 0.9858)  2 P 2.40, 2 Re 2.66
Re (0.5000, 0.5000, 0.2192)  6 Re 2.66-2.92

DFT total energy per entry: -42.6; -23.7; -57.1; -13.2; -13.4; -33.6 eV per cell